Entry from the Alexandria database: crystalline HoCr2AgO8 at its relaxed geometry (GGA+U).

The structure in extended XYZ format:
```
12
Lattice="-4.3555 4.0774 -0.7258 1.6515 -3.0640 -4.8996 -2.1591 -4.0711 3.8583" Properties=species:S:1:pos:R:3 pbc="T T T"
Cr -1.3520 0.5067 -2.8127
Cr -3.9333 0.2565 0.1599
O -2.6729 -3.4143 -0.3916
Ag 0.0000 0.0000 0.0000
O -4.4839 -0.8391 -0.9831
Ho -0.9298 -3.3142 -1.9270
O -2.3150 0.0828 0.5610
O -4.3035 1.6972 -0.6129
O -4.6307 0.0851 1.6745
O -1.0450 -1.0049 -2.1713
O -2.9977 0.6592 -3.0555
O -3.0106 -2.3554 2.0841
```

Output
M_tot, μB/atom: 0.000
SG: I-4m2 (119)
Theoretical density, Mg/m³: 5.1
Raw total energy, eV/cell: -81.0